[1]
The following is a DFT calculation (PBE) of crystalline TbDyTlCd at its relaxed geometry.

Structure (POSCAR):
```
TbDyTlCd
1.0
-3.8567 -3.4595 1.2861
-0.6995 -1.4462 5.0907
-4.3007 1.6735 2.6833
Tl Cd Tb Dy
1 1 1 1
direct
0.2500 0.2500 0.2500
0.7500 0.7500 0.7500
0.5000 0.5000 0.5000
0.0000 0.0000 0.0000
```

Calculated values
DFT formation energy	-0.342	eV per atom
total energy	-3.4705	eV per atom
SG	F-43m, No. 216
mass density	9.9	g/cm3

=====

[2]
The following is a DFT calculation (PBE) of crystalline TbDyYCd at its relaxed geometry.

Structure (POSCAR):
```
TbDyYCd
1.0
3.5940 0.0000 0.0000
0.0000 3.5940 0.0000
0.0000 0.0000 9.0542
Cd Tb Dy Y
1 1 1 1
direct
0.0000 0.0000 0.5704
0.0000 0.0000 0.0728
0.5000 0.5000 0.3445
0.5000 0.5000 0.7970
```

Calculated values
excess energy over the best structure of this formula in the dataset	0	meV per atom
DFT formation energy	-0.152	eV per atom
total energy	-4.3046	eV per atom
SG	P4mm, No. 99
mass density	7.4	g/cm3

=====

[3]
The following is a DFT calculation (PBE) of crystalline TbDyYCd at its relaxed geometry.

Structure (POSCAR):
```
TbDyYCd
1.0
-0.3722 -2.1205 -5.0081
-2.0479 -5.0038 -0.6959
-4.8855 -0.6457 -2.3303
Dy Cd Y Tb
1 1 1 1
direct
0.5000 0.5000 0.5000
0.0000 0.0000 0.0000
0.2500 0.2500 0.2500
0.7500 0.7500 0.7500
```

Calculated values
excess energy over the best structure of this formula in the dataset	132	meV per atom
DFT formation energy	-0.020	eV per atom
total energy	-4.1729	eV per atom
SG	F-43m, No. 216
mass density	7.6	g/cm3

=====

[4]
The following is a DFT calculation (PBE) of crystalline TbDyZrCd at its relaxed geometry.

Structure (POSCAR):
```
TbDyZrCd
1.0
5.3197 0.0000 0.0000
2.6599 4.6070 0.0000
2.6599 1.5357 4.3435
Cd Tb Zr Dy
1 1 1 1
direct
0.7500 0.7500 0.7500
0.5000 0.5000 0.5000
0.2500 0.2500 0.2500
0.0000 0.0000 0.0000
```

Calculated values
DFT formation energy	0.047	eV per atom
total energy	-4.6265	eV per atom
SG	F-43m, No. 216
mass density	8.2	g/cm3

=====

[5]
The following is a DFT calculation (PBE) of crystalline Dy5Cd2Tc at its relaxed geometry.

Structure (POSCAR):
```
Dy5Cd2Tc
1.0
-3.1174 3.2237 2.4655
-4.5933 -0.8879 -4.6470
-4.6792 -9.4423 6.4293
Dy Tc Cd
10 2 4
direct
0.0000 0.1270 0.2856
0.0000 0.8730 0.7144
0.5000 0.3422 0.1011
0.0000 0.0000 0.0000
0.0000 0.5000 0.5000
0.5000 0.6578 0.8989
0.5000 0.1578 0.6011
0.0000 0.6270 0.2144
0.0000 0.3730 0.7856
0.5000 0.8422 0.3989
0.0000 0.5000 0.0000
0.0000 0.0000 0.5000
0.5000 0.8705 0.1400
0.5000 0.1295 0.8600
0.5000 0.6295 0.6400
0.5000 0.3705 0.3600
```

Calculated values
DFT formation energy	-0.173	eV per atom
total energy	-4.5735	eV per atom
SG	Pbam, No. 55
mass density	9.1	g/cm3

=====

[6]
The following is a DFT calculation (PBE) of crystalline Dy6CdTc at its relaxed geometry.

Structure (POSCAR):
```
Dy6CdTc
1.0
0.4793 -6.2108 -1.6650
6.6851 -2.6421 1.8069
1.4221 -2.7958 5.8520
Cd Dy Tc
1 6 1
direct
0.0000 0.0000 0.0000
0.2623 0.2724 0.0000
0.7453 0.4935 0.6222
0.2547 0.5065 0.3778
0.2547 0.8842 0.6222
0.7453 0.1158 0.3778
0.7377 0.7276 0.0000
0.5000 0.5000 0.0000
```

Calculated values
DFT formation energy	0.112	eV per atom
total energy	-4.7501	eV per atom
SG	C2/m, No. 12
mass density	8.0	g/cm3

=====

[7]
The following is a DFT calculation (PBE) of crystalline Dy8Cd2Tc at its relaxed geometry.

Structure (POSCAR):
```
Dy8Cd2Tc
1.0
-2.7109 -1.9344 -4.2377
-1.3823 -5.8468 3.5532
-4.8981 6.8344 3.4411
Dy Cd Tc
8 2 1
direct
0.1942 0.2753 0.3883
0.5950 0.4167 0.1901
0.9797 0.2120 0.9595
0.4050 0.5833 0.8099
0.3477 0.0556 0.6953
0.6523 0.9444 0.3047
0.8058 0.7247 0.6117
0.0203 0.7880 0.0405
0.8164 0.3014 0.6329
0.1836 0.6986 0.3671
0.5000 0.0000 0.0000
```

Calculated values
DFT formation energy	-0.125	eV per atom
total energy	-4.5812	eV per atom
SG	C2/m, No. 12
mass density	8.8	g/cm3

=====

[8]
The following is a DFT calculation (PBE) of crystalline Dy6CdTc2 at its relaxed geometry.

Structure (POSCAR):
```
Dy6CdTc2
1.0
-2.4282 -3.0849 7.5579
8.4282 1.1701 -0.3617
-3.3993 7.6674 -1.4797
Dy Tc Cd
12 4 2
direct
0.2123 0.2336 0.4459
0.7065 0.3907 0.6842
0.5268 0.7165 0.8103
0.9062 0.7165 0.1897
0.7877 0.7664 0.5541
0.2935 0.9777 0.6842
0.4732 0.2835 0.1897
0.7065 0.0223 0.3158
0.2123 0.7664 0.9787
0.2935 0.6093 0.3158
0.0938 0.2835 0.8103
0.7877 0.2336 0.0213
0.5000 0.6158 0.1158
0.3712 0.0000 0.3712
0.5000 0.3842 0.8842
0.6288 0.0000 0.6288
0.0000 0.0000 0.0000
0.0000 0.5000 0.5000
```

Calculated values
DFT formation energy	-0.130	eV per atom
total energy	-5.6035	eV per atom
SG	Immm, No. 71
mass density	9.0	g/cm3

=====

[9]
The following is a DFT calculation (PBE) of crystalline Dy3CdTc at its relaxed geometry.

Structure (POSCAR):
```
Dy3CdTc
1.0
0.4302 0.7450 3.4103
7.9593 -3.0466 1.4752
5.5849 7.4481 -0.5178
Tc Dy Cd
2 6 2
direct
0.2353 0.6025 0.9269
0.7647 0.3975 0.0731
0.4237 0.2066 0.9460
0.1818 0.9341 0.7023
0.1229 0.4556 0.2985
0.8182 0.0659 0.2977
0.8771 0.5444 0.7015
0.5763 0.7934 0.0540
0.4205 0.7434 0.4156
0.5795 0.2566 0.5844
```

Calculated values
DFT formation energy	-0.104	eV per atom
total energy	-5.1211	eV per atom
SG	C2/m, No. 12
mass density	8.7	g/cm3

=====

[10]
The following is a DFT calculation (PBE) of crystalline Dy8CdTc2 at its relaxed geometry.

Structure (POSCAR):
```
Dy8CdTc2
1.0
-4.2011 -2.5046 -2.1214
4.1293 -2.9406 -4.7014
1.2187 -3.3659 8.2591
Dy Tc Cd
8 2 1
direct
0.3460 0.8621 0.3288
0.1371 0.5412 0.9091
0.9700 0.0163 0.5766
0.9265 0.4424 0.4894
0.3026 0.3488 0.2415
0.6367 0.2681 0.9091
0.5260 0.7107 0.6882
0.7469 0.9315 0.1299
0.4723 0.2911 0.5818
0.7992 0.6184 0.2365
0.1366 0.9693 0.9091
```

Calculated values
DFT formation energy	-0.079	eV per atom
total energy	-5.3937	eV per atom
SG	Cm, No. 8
mass density	9.2	g/cm3

=====

[11]
The following is a DFT calculation (PBE) of crystalline Dy2Tm5CdTc2 at its relaxed geometry.

Structure (POSCAR):
```
Dy2Tm5CdTc2
1.0
4.0274 0.0000 0.0000
0.0000 11.3426 0.0000
0.0000 0.0000 11.3426
Dy Tm Tc Cd
4 10 4 2
direct
0.0000 0.8264 0.6736
0.0000 0.1736 0.3264
0.0000 0.3264 0.8264
0.0000 0.6736 0.1736
0.5000 0.5720 0.7117
0.5000 0.0000 0.5000
0.5000 0.7883 0.9280
0.5000 0.4280 0.2883
0.5000 0.0720 0.7883
0.5000 0.5000 0.0000
0.5000 0.2117 0.0720
0.5000 0.7117 0.4280
0.5000 0.9280 0.2117
0.5000 0.2883 0.5720
0.0000 0.8762 0.3762
0.0000 0.3762 0.1238
0.0000 0.6238 0.8762
0.0000 0.1238 0.6238
0.0000 0.5000 0.5000
0.0000 0.0000 0.0000
```

Calculated values
DFT formation energy	-0.125	eV per atom
total energy	-5.4460	eV per atom
SG	P4/mbm, No. 127
mass density	9.5	g/cm3

=====

[12]
The following is a DFT calculation (PBE) of crystalline DyYCdTc at its relaxed geometry.

Structure (POSCAR):
```
DyYCdTc
1.0
-2.5369 0.1266 4.3611
-4.6652 -1.9077 0.2619
-0.8403 -4.2702 2.5554
Cd Y Dy Tc
1 1 1 1
direct
0.0000 0.0000 0.0000
0.7500 0.7500 0.7500
0.2500 0.2500 0.2500
0.5000 0.5000 0.5000
```

Calculated values
DFT formation energy	-0.094	eV per atom
total energy	-5.6808	eV per atom
SG	F-43m, No. 216
mass density	8.4	g/cm3